[1]
Below is a geometry-optimized Ta3V2W4 structure, with properties calculated at the PBE level.

The density of states at the Fermi level comes out at 7.9 states/eV/cell. For the final energy, the calculation gives -11.776 eV per atom. The calculation puts the formation energy at -42 meV per atom.

Unit cell a=4.5178 b=4.5178 c=8.2556 alpha=90.00 beta=90.00 gamma=120.00
Atoms (fractional coordinates):
Ta: 0.0000 0.0000 0.0000
Ta: 0.3333 0.6667 0.4392
Ta: 0.6667 0.3333 0.5608
V: 0.3333 0.6667 0.7835
V: 0.6667 0.3333 0.2165
W: 0.0000 0.0000 0.3329
W: 0.0000 0.0000 0.6671
W: 0.3333 0.6667 0.1105
W: 0.6667 0.3333 0.8895

***

[2]
Below is a geometry-optimized TeClF2 structure, with properties calculated at the PBE level.

The density of states at the Fermi level comes out at 3.2 states/eV/cell. For the final energy, the calculation gives -2.949 eV per atom. The energy above the most stable polymorph in this dataset is 0.164 eV/atom. For the formation energy from raw total energies, the calculation gives -0.7664 eV per atom.

Unit cell a=10.3595 b=10.3595 c=10.3595 alpha=18.10 beta=18.10 gamma=18.10
Atoms (fractional coordinates):
Te: 0.0000 0.0000 0.0000
Cl: 0.5000 0.5000 0.5000
F: 0.0646 0.0646 0.0646
F: 0.9354 0.9354 0.9354

***

[3]
Below is a geometry-optimized CsTe structure, with properties calculated at the PBE level.

For the final energy, the calculation gives -2.865 eV per atom. For the formation energy from raw total energies, the calculation gives -0.8679 eV per atom.

Unit cell a=6.3180 b=11.8109 c=5.0834 alpha=90.00 beta=90.00 gamma=90.00
Atoms (fractional coordinates):
Cs: 0.1773 0.1358 0.0000
Cs: 0.3227 0.6358 0.0000
Cs: 0.6773 0.3642 0.0000
Cs: 0.8227 0.8642 0.0000
Te: 0.1349 0.4043 0.5000
Te: 0.3651 0.9043 0.5000
Te: 0.6349 0.0957 0.5000
Te: 0.8651 0.5957 0.5000

***

[4]
Below is a geometry-optimized Na3Cd2Pt structure, with properties calculated at the PBE level.

The density of states at the Fermi level comes out at 1.8 states/eV/cell. For the final energy, the calculation gives -2.129 eV per atom. The energy above the most stable polymorph in this dataset is 0.000 eV/atom. The calculation puts the formation energy at -158 meV per atom.

Unit cell a=9.2770 b=9.2770 c=3.0510 alpha=90.00 beta=90.00 gamma=146.61
Atoms (fractional coordinates):
Na: 0.0000 0.0000 0.0000
Na: 0.1965 0.8035 0.5000
Na: 0.8035 0.1965 0.5000
Cd: 0.3697 0.6303 0.0000
Cd: 0.6303 0.3697 0.0000
Pt: 0.5000 0.5000 0.5000

***

[5]
Below is a geometry-optimized Be2TePdI structure, with properties calculated at the PBE level.

The density of states at the Fermi level comes out at 2.1 states/eV/cell. For the final energy, the calculation gives -2.760 eV per atom. For the formation energy from raw total energies, the calculation gives 0.7072 eV per atom.

Unit cell a=4.8706 b=4.8706 c=5.1148 alpha=90.00 beta=90.00 gamma=90.00
Atoms (fractional coordinates):
Be: 0.0000 0.5000 0.0000
Be: 0.5000 0.0000 0.0000
Te: 0.0000 0.0000 0.0000
Pd: 0.0000 0.0000 0.5000
I: 0.5000 0.5000 0.5000

***

[6]
Below is a geometry-optimized Na3Tm3InSe8 structure, with properties calculated at the PBE level.

The density of states at the Fermi level comes out at 9.4 states/eV/cell. For the final energy, the calculation gives -4.575 eV per atom. For the formation energy from raw total energies, the calculation gives -1.3757 eV per atom.

Unit cell a=8.0717 b=8.0717 c=8.5312 alpha=118.32 beta=118.32 gamma=59.91
Atoms (fractional coordinates):
Na: 0.0000 0.0000 0.0000
Na: 0.0000 0.5000 0.0000
Na: 0.5000 0.0000 0.0000
Tm: 0.0000 0.5000 0.5000
Tm: 0.5000 0.0000 0.5000
Tm: 0.5000 0.5000 0.5000
In: 0.0000 0.0000 0.5000
Se: 0.2410 0.2410 0.7252
Se: 0.2409 0.7433 0.7251
Se: 0.2567 0.7591 0.2749
Se: 0.2578 0.2578 0.2733
Se: 0.7422 0.7422 0.7267
Se: 0.7433 0.2409 0.7251
Se: 0.7591 0.2567 0.2749
Se: 0.7590 0.7590 0.2748

***

[7]
Below is a geometry-optimized NbSNO2 structure, with properties calculated at the PBE level.

The density of states at the Fermi level comes out at 1.8 states/eV/cell. For the final energy, the calculation gives -6.844 eV per atom. For the formation energy from raw total energies, the calculation gives -0.3565 eV per atom.

Unit cell a=3.8940 b=3.8940 c=4.4515 alpha=90.00 beta=90.00 gamma=90.00
Atoms (fractional coordinates):
Nb: 0.0000 0.0000 0.0000
S: 0.5000 0.5000 0.5000
N: 0.0000 0.0000 0.5000
O: 0.0000 0.5000 0.0000
O: 0.5000 0.0000 0.0000

***

[8]
Below is a geometry-optimized CrN2 structure, with properties calculated at the PBE level.

The density of states at the Fermi level comes out at 4.1 states/eV/cell. For the final energy, the calculation gives -8.453 eV per atom. For the formation energy from raw total energies, the calculation gives 0.3047 eV per atom.

Unit cell a=11.5321 b=11.5321 c=11.5321 alpha=60.00 beta=60.00 gamma=60.00
Atoms (fractional coordinates):
Cr: 0.0609 0.0609 0.0609
Cr: 0.0609 0.0609 0.3172
Cr: 0.0609 0.3172 0.0609
Cr: 0.3172 0.0609 0.0609
Cr: 0.6828 0.9391 0.9391
Cr: 0.9391 0.6828 0.9391
Cr: 0.9391 0.9391 0.6828
Cr: 0.9391 0.9391 0.9391
N: 0.0000 0.0000 0.0000
N: 0.0000 0.0000 0.5000
N: 0.0000 0.5000 0.0000
N: 0.0032 0.0032 0.2468
N: 0.0032 0.2468 0.0032
N: 0.0032 0.2468 0.2468
N: 0.2468 0.0032 0.0032
N: 0.2468 0.0032 0.2468
N: 0.2468 0.2468 0.0032
N: 0.5000 0.0000 0.0000
N: 0.7532 0.7532 0.9968
N: 0.7532 0.9968 0.7532
N: 0.7532 0.9968 0.9968
N: 0.9968 0.7532 0.7532
N: 0.9968 0.7532 0.9968
N: 0.9968 0.9968 0.7532